1.
DFT (PBE) results for a relaxed structure of CsK3Mn4I12.

Unit cell a=10.894 b=10.894 c=10.894 alpha=103.72 beta=103.72 gamma=103.72
Each line ends with the local moment (μB).
Fractional positions:
Mn: 0.500 0.950 0.050  4.31
I: 0.804 0.047 0.659  0.04
I: 0.196 0.341 0.953  0.04
Cs: 0.000 0.000 0.000  0.00
I: 0.659 0.804 0.047  0.04
I: 0.500 0.348 0.652  0.04
I: 0.103 0.897 0.500  0.05
I: 0.953 0.196 0.341  0.04
I: 0.500 0.103 0.897  0.05
I: 0.897 0.500 0.103  0.05
I: 0.348 0.652 0.500  0.04
Mn: 0.050 0.500 0.950  4.31
I: 0.047 0.659 0.804  0.04
I: 0.341 0.953 0.196  0.04
K: 0.544 0.456 0.000  0.00
K: 0.456 0.000 0.544  0.00
Mn: 0.950 0.050 0.500  4.31
Mn: 0.500 0.500 0.500  4.29
I: 0.652 0.500 0.348  0.04
K: 0.000 0.544 0.456  0.00

Properties
Crystal system: trigonal
Fermi-level density of states (states/eV per cell): 0.0
ΔE_f (raw) (meV per atom): -785


2.
DFT (PBE) results for a relaxed structure of CsKMn2I8.

Unit cell a=7.732 b=7.732 c=11.877 alpha=71.00 beta=71.00 gamma=60.00
Each line ends with the local moment (μB).
Fractional positions:
I: 0.928 0.560 0.197  -0.03
I: 0.836 0.836 0.493  -0.03
I: 0.685 0.072 0.803  -0.03
I: 0.315 0.928 0.197  -0.03
I: 0.072 0.440 0.803  -0.03
I: 0.164 0.164 0.507  -0.03
Mn: 0.243 0.243 0.272  3.79
K: 0.000 0.000 0.000  0.00
I: 0.440 0.685 0.803  -0.03
I: 0.560 0.315 0.197  -0.03
Mn: 0.757 0.757 0.728  3.79
Cs: 0.500 0.500 0.500  0.00

Properties
Crystal system: trigonal
Fermi-level density of states (states/eV per cell): 11.6
ΔE_f (raw) (meV per atom): -694


3.
DFT (PBE) results for a relaxed structure of Cs2KMnI6.

Unit cell a=8.551 b=8.282 c=8.282 alpha=120.00 beta=90.00 gamma=90.00
Each line ends with the local moment (μB).
Fractional positions:
Cs: 0.165 0.333 0.667  0.00
Cs: 0.835 0.667 0.333  0.00
Mn: 0.000 0.000 0.000  3.89
I: 0.808 0.161 0.839  -0.02
I: 0.192 0.322 0.161  -0.02
I: 0.808 0.161 0.322  -0.02
I: 0.808 0.678 0.839  -0.02
I: 0.192 0.839 0.161  -0.02
I: 0.192 0.839 0.678  -0.02
K: 0.500 0.000 0.000  0.00

Properties
Crystal system: trigonal
Fermi-level density of states (states/eV per cell): 3.0
Energy above the most stable polymorph in this dataset (meV/atom): 0.0
ΔE_f (raw) (meV per atom): -1040


4.
DFT (PBE) results for a relaxed structure of CsKMoI6.

Unit cell a=8.612 b=8.612 c=7.389 alpha=90.01 beta=89.99 gamma=59.97
Each line ends with the local moment (μB).
Fractional positions:
I: 0.344 0.590 0.279  -0.01
I: 0.344 0.066 0.720  -0.01
I: 0.066 0.344 0.279  -0.01
Mo: 0.333 0.333 0.500  1.77
K: 0.667 0.667 0.500  0.00
Cs: 0.000 0.000 0.000  0.00
I: 0.590 0.065 0.280  -0.01
I: 0.065 0.590 0.720  -0.01
I: 0.590 0.344 0.721  -0.01

Properties
Crystal system: trigonal
Fermi-level density of states (states/eV per cell): 8.7
ΔE_f (raw) (meV per atom): -712


5.
DFT (PBE) results for a relaxed structure of CsKI2N.

Unit cell a=7.191 b=7.191 c=5.863 alpha=90.00 beta=90.00 gamma=90.00
Each line ends with the local moment (μB).
Fractional positions:
I: 0.500 0.000 0.000  0.03
N: 0.000 0.000 0.500  1.82
I: 0.000 0.500 0.000  0.03
Cs: 0.000 0.000 0.000  0.05
K: 0.500 0.500 0.500  0.00

Properties
Crystal system: tetragonal
Fermi-level density of states (states/eV per cell): 5.5
Energy above the most stable polymorph in this dataset (meV/atom): 174.8
ΔE_f (raw) (meV per atom): 79


6.
DFT (PBE) results for a relaxed structure of CsKI2N.

Unit cell a=6.723 b=6.723 c=5.542 alpha=90.00 beta=90.00 gamma=90.00
Each line ends with the local moment (μB).
Fractional positions:
Cs: 0.500 0.500 0.500  0.00
I: 0.000 0.500 0.000  0.07
I: 0.500 0.000 0.000  0.07
N: 0.000 0.000 0.500  1.85
K: 0.000 0.000 0.000  0.02

Properties
Crystal system: tetragonal
Fermi-level density of states (states/eV per cell): 2.2
Energy above the most stable polymorph in this dataset (meV/atom): 0.0
ΔE_f (raw) (meV per atom): -96